# Pr12ScTl3

An optimized crystal structure of Pr12ScTl3 (GGA-PBE, Alexandria).

```
Pr12ScTl3
1.0
5.030 0.000 0.000
0.000 5.030 0.000
0.000 0.000 20.371
Pr Sc Tl
12 1 3
Direct
0.500 0.500 0.000
0.500 0.500 0.251
0.500 0.500 0.500
0.500 0.500 0.749
0.500 0.000 0.126
0.500 0.000 0.376
0.500 0.000 0.624
0.500 0.000 0.874
0.000 0.500 0.126
0.000 0.500 0.376
0.000 0.500 0.624
0.000 0.500 0.874
0.000 0.000 0.000
0.000 0.000 0.254
0.000 0.000 0.500
0.000 0.000 0.746
```

Calculated values
SG: P4/mmm
Calculated total energy: -73.1 eV/cell
Energy of formation from the pure elements: -0.14 eV/atom
Calculated volume: 32.2 Å³ per atom